! Hf4ThSi4 PBE-GGA relaxed; values from VASP
! SG   P4_2/n, No. 86
! Uncorrected formation energy   -463.6 meV per atom
! Density of states at the Fermi level   6.1 states/eV/f.u.
&SYSTEM
  ibrav = 0, nat = 18, ntyp = 3
/
ATOMIC_SPECIES
Si 28.09 Si.upf
Hf 178.49 Hf.upf
Th 232.04 Th.upf
CELL_PARAMETERS angstrom
5.238 0.000 0.000
0.000 8.703 0.000
0.000 0.000 8.703
ATOMIC_POSITIONS angstrom
Si 4.653 2.691 7.314
Hf 0.628 7.504 3.317
Hf 1.991 5.551 1.035
Si 2.034 2.963 1.661
Si 0.585 1.388 2.691
Si 2.034 5.740 7.042
Hf 3.247 1.035 3.152
Th 0.000 0.000 0.000
Hf 3.247 7.668 5.551
Si 4.653 6.012 1.388
Hf 0.628 1.199 5.386
Hf 4.610 5.386 7.504
Hf 1.991 3.152 7.668
Si 3.204 1.661 5.740
Si 0.585 7.314 6.012
Th 2.619 4.351 4.351
Si 3.204 7.042 2.963
Hf 4.610 3.317 1.199